(1)
Tc2Ni | GGA-PBE | optimized geometry

The calculated formation energy is 0.567 eV per atom. As for the distance to the lowest polymorph of the same formula: 0.000 eV/atom. The value obtained for the spin magnetization is 0.03 μB/cell. The total energy comes out at -8.196 eV/atom.

It has space group Fd-3m (No. 227, origin choice 2), with a = 7.0863 Å, b = 7.0863 Å, c = 7.0863 Å, α = 90.00°, β = 90.00° and γ = 90.00°. The inequivalent atoms are Tc at (0.0000, 0.0000, 0.0000) and Ni at (0.1250, 0.1250, 0.6250).

---

(2)
GaReO3 | GGA-PBE | optimized geometry

The value obtained for the spin magnetization is 0.00 μB/cell. The total energy comes out at -7.152 eV/atom.

It has space group Pnma (No. 62), with a = 4.9513 Å, b = 7.4487 Å, c = 5.4979 Å, α = 90.00°, β = 90.00° and γ = 90.00°. The inequivalent atoms are Ga at (0.0355, 0.2500, 0.0184), Re at (0.0000, 0.0000, 0.5000), O at (0.1193, 0.2500, 0.3668) and O at (0.1531, 0.5643, 0.1795).

---

(3)
TaSbPO | GGA-PBE | optimized geometry

As for the distance to the lowest polymorph of the same formula: 0.528 eV/atom. The value obtained for the spin magnetization is 0.02 μB/cell. The total energy comes out at -6.848 eV/atom.

It has space group P4/nmm (No. 129, origin choice 2), with a = 4.0308 Å, b = 4.0308 Å, c = 8.4227 Å, α = 90.00°, β = 90.00° and γ = 90.00°. The inequivalent atoms are Ta at (0.2500, 0.2500, 0.0958), Sb at (0.2500, 0.7500, 0.5000), P at (0.2500, 0.2500, 0.7792) and O at (0.2500, 0.7500, 0.0000).

---

(4)
Hf2GeAu2 | GGA-PBE | optimized geometry

As for the distance to the lowest polymorph of the same formula: 0.000 eV/atom. The value obtained for the spin magnetization is 2.10 μB/cell. The total energy comes out at -6.269 eV/atom.

It has space group I4/mmm (No. 139), with a = 3.7346 Å, b = 3.7346 Å, c = 14.8613 Å, α = 90.00°, β = 90.00° and γ = 90.00°. The inequivalent atoms are Hf at (0.0000, 0.0000, 0.0977), Ge at (0.0000, 0.0000, 0.5000) and Au at (0.0000, 0.5000, 0.2500).

---

(5)
GdHf | GGA-PBE | optimized geometry

The calculated formation energy is 0.828 eV per atom. As for the distance to the lowest polymorph of the same formula: 0.628 eV/atom. The value obtained for the spin magnetization is 0.03 μB/cell. The total energy comes out at -6.477 eV/atom.

It has space group P6_3/mmc (No. 194), with a = 3.7094 Å, b = 3.7094 Å, c = 8.2681 Å, α = 90.00°, β = 90.00° and γ = 120.00°. The inequivalent atoms are Gd at (0.0000, 0.0000, 0.0000) and Hf at (0.3333, 0.6667, 0.2500).

---

(6)
PmPPdO | GGA-PBE | optimized geometry

As for the distance to the lowest polymorph of the same formula: 0.000 eV/atom. The value obtained for the spin magnetization is 0.00 μB/cell. The total energy comes out at -6.938 eV/atom.

It has space group P4/nmm (No. 129, origin choice 2), with a = 4.1148 Å, b = 4.1148 Å, c = 7.9886 Å, α = 90.00°, β = 90.00° and γ = 90.00°. The inequivalent atoms are Pm at (0.2500, 0.2500, 0.1398), P at (0.2500, 0.2500, 0.6562), Pd at (0.2500, 0.7500, 0.5000) and O at (0.2500, 0.7500, 0.0000).

---

(7)
Pr3Zn4 | GGA-PBE | optimized geometry

The calculated formation energy is -0.179 eV per atom. As for the distance to the lowest polymorph of the same formula: 0.000 eV/atom. The value obtained for the spin magnetization is 0.42 μB/cell. The total energy comes out at -2.948 eV/atom.

It has space group P6_3/m (No. 176), with a = 9.1276 Å, b = 9.1276 Å, c = 4.6455 Å, α = 90.00°, β = 90.00° and γ = 120.00°. The inequivalent atoms are Pr at (0.0929, 0.4364, 0.2500), Zn at (0.0334, 0.1937, 0.7500) and Zn at (0.3333, 0.6667, 0.7500).

---

(8)
Mg4GaSiPd2 | GGA-PBE | optimized geometry

The total energy comes out at -3.189 eV/atom.

It has space group Amm2 (No. 38), with a = 6.8855 Å, b = 3.3394 Å, c = 16.6326 Å, α = 90.00°, β = 90.00° and γ = 90.00°. The inequivalent atoms are Mg at (0.1997, 0.0000, 0.0000), Mg at (0.2043, 0.0000, 0.6498), Ga at (0.5000, 0.0000, 0.7618), Si at (0.5000, 0.0000, 0.9008), Pd at (0.5000, 0.0000, 0.1474) and Pd at (0.5000, 0.0000, 0.5043).

---

(9)
Tm2Zn | GGA-PBE | optimized geometry

The calculated formation energy is 0.475 eV per atom. The value obtained for the spin magnetization is 0.05 μB/cell. The total energy comes out at -2.930 eV/atom.

It has space group Fd-3m (No. 227, origin choice 2), with a = 8.6634 Å, b = 8.6634 Å, c = 8.6634 Å, α = 90.00°, β = 90.00° and γ = 90.00°. The inequivalent atoms are Tm at (0.0000, 0.0000, 0.0000) and Zn at (0.1250, 0.1250, 0.6250).

---

(10)
BaCdAg2Ge | GGA-PBE | optimized geometry

The total energy comes out at -2.901 eV/atom.

It has space group I4mm (No. 107), with a = 4.9136 Å, b = 4.9136 Å, c = 10.6500 Å, α = 90.00°, β = 90.00° and γ = 90.00°. The inequivalent atoms are Ba at (0.0000, 0.0000, 0.0000), Cd at (0.0000, 0.0000, 0.6226), Ag at (0.0000, 0.5000, 0.2643) and Ge at (0.0000, 0.0000, 0.3639).

---

(11)
TbRePt | GGA-PBE | optimized geometry

The calculated formation energy is 0.324 eV per atom. The value obtained for the spin magnetization is 7.49 μB/cell. The total energy comes out at -7.378 eV/atom.

It has space group F-43m (No. 216), with a = 6.4085 Å, b = 6.4085 Å, c = 6.4085 Å, α = 90.00°, β = 90.00° and γ = 90.00°. The inequivalent atoms are Tb at (0.0000, 0.0000, 0.0000), Re at (0.0000, 0.0000, 0.5000) and Pt at (0.2500, 0.2500, 0.7500).

---

(12)
KHfTc | GGA-PBE | optimized geometry

As for the distance to the lowest polymorph of the same formula: 1.035 eV/atom. The value obtained for the spin magnetization is 6.00 μB/cell. The total energy comes out at -4.645 eV/atom.

It has space group F-43m (No. 216), with a = 6.7272 Å, b = 6.7272 Å, c = 6.7272 Å, α = 90.00°, β = 90.00° and γ = 90.00°. The inequivalent atoms are K at (0.0000, 0.0000, 0.0000), Hf at (0.2500, 0.2500, 0.7500) and Tc at (0.2500, 0.2500, 0.2500).